Record 1
# La2Pr3NdDy6 | the Alexandria database | PBE-GGA | optimized geometry
# Volume   810 Å³/cell
# Formation energy   12 meV/atom
# Calculated total energy   -4.70 eV/atom
data_La2Pr3NdDy6
_chemical_formula_sum 'La4 Pr6 Nd2 Dy12'
_symmetry_space_group_name_H-M 'C 1 2/m 1'
_symmetry_Int_Tables_number 12
_cell_length_a 6.3172
_cell_length_b 10.9425
_cell_length_c 11.8990
_cell_angle_alpha 90.00
_cell_angle_beta 100.17
_cell_angle_gamma 90.00
loop_
_symmetry_equiv_pos_as_xyz
'x,y,z'
'-x,-y,-z'
'-x,y,-z'
'x,-y,z'
'x+1/2,y+1/2,z'
'-x+1/2,-y+1/2,-z'
'-x+1/2,y+1/2,-z'
'x+1/2,-y+1/2,z'
loop_
_atom_site_label
_atom_site_type_symbol
_atom_site_fract_x
_atom_site_fract_y
_atom_site_fract_z
_atom_site_occupancy
La1 La 0.0000 0.1665 0.0000 1
Pr1 Pr 0.0000 0.0000 0.5000 1
Pr2 Pr 0.0000 0.3335 0.5000 1
Nd1 Nd 0.0000 0.5000 0.0000 1
Dy1 Dy 0.2489 0.5000 0.7494 1
Dy2 Dy 0.2500 0.1663 0.7495 1

=====

Record 2
# SmY2Tm6 | the Alexandria database | PBE-GGA | optimized geometry
# Volume   556 Å³/cell
# Formation energy   28 meV/atom
# Distance to the lowest polymorph of the same formula   0 meV per atom
# Calculated total energy   -4.91 eV/atom
data_SmY2Tm6
_chemical_formula_sum 'Sm2 Y4 Tm12'
_symmetry_space_group_name_H-M 'P 42/m n m'
_symmetry_Int_Tables_number 136
_symmetry_space_group_name_Hall '-P 4n 2n'
_cell_length_a 10.5614
_cell_length_b 10.5614
_cell_length_c 4.9886
_cell_angle_alpha 90.00
_cell_angle_beta 90.00
_cell_angle_gamma 90.00
loop_
_atom_site_label
_atom_site_type_symbol
_atom_site_fract_x
_atom_site_fract_y
_atom_site_fract_z
_atom_site_occupancy
Sm1 Sm 0.0000 0.0000 0.0000 1
Y1 Y 0.1673 0.1673 0.5000 1
Tm1 Tm 0.0003 0.3349 0.0000 1
Tm2 Tm 0.1675 0.8325 0.5000 1

=====

Record 3
# Pa2Tl3S6 | the Alexandria database | PBE-GGA | optimized geometry
# Volume   700 Å³/cell
# Calculated total energy   -5.58 eV/atom
# Raw formation energy   -0.96 eV/atom
data_Pa2Tl3S6
_chemical_formula_sum 'Pa4 Tl6 S12'
_symmetry_space_group_name_H-M 'I 4/m m m'
_symmetry_Int_Tables_number 139
_symmetry_space_group_name_Hall '-I 4 2'
_cell_length_a 5.1345
_cell_length_b 5.1345
_cell_length_c 26.5608
_cell_angle_alpha 90.00
_cell_angle_beta 90.00
_cell_angle_gamma 90.00
loop_
_atom_site_label
_atom_site_type_symbol
_atom_site_fract_x
_atom_site_fract_y
_atom_site_fract_z
_atom_site_occupancy
Pa1 Pa 0.0000 0.0000 0.1036 1
Tl1 Tl 0.0000 0.0000 0.3125 1
Tl2 Tl 0.0000 0.0000 0.5000 1
S1 S 0.0000 0.0000 0.1974 1
S2 S 0.0000 0.5000 0.0798 1

=====

Record 4
# RbCd4Sn3 | the Alexandria database | PBE-GGA | optimized geometry
# Volume   240 Å³/cell
# Formation energy   -94 meV/atom
# Calculated total energy   -2.17 eV/atom
data_RbCd4Sn3
_chemical_formula_sum 'Rb1 Cd4 Sn3'
_symmetry_space_group_name_H-M 'P 4/m m m'
_symmetry_Int_Tables_number 123
_symmetry_space_group_name_Hall '-P 4 2'
_cell_length_a 5.1096
_cell_length_b 5.1096
_cell_length_c 9.1749
_cell_angle_alpha 90.00
_cell_angle_beta 90.00
_cell_angle_gamma 90.00
loop_
_atom_site_label
_atom_site_type_symbol
_atom_site_fract_x
_atom_site_fract_y
_atom_site_fract_z
_atom_site_occupancy
Rb1 Rb 0.0000 0.0000 0.0000 1
Cd1 Cd 0.0000 0.5000 0.3214 1
Sn1 Sn 0.0000 0.0000 0.5000 1
Sn2 Sn 0.5000 0.5000 0.1572 1

=====

Record 5
# TiZn2Au2 | the Alexandria database | PBE-GGA | optimized geometry
# Volume   165 Å³/cell
# Formation energy   -152 meV/atom
# Distance to the lowest polymorph of the same formula   120 meV per atom
# Calculated total energy   -3.55 eV/atom
data_TiZn2Au2
_chemical_formula_sum 'Ti2 Zn4 Au4'
_symmetry_space_group_name_H-M 'P 4/m b m'
_symmetry_Int_Tables_number 127
_symmetry_space_group_name_Hall '-P 4 2ab'
_cell_length_a 7.5756
_cell_length_b 7.5756
_cell_length_c 2.8834
_cell_angle_alpha 90.00
_cell_angle_beta 90.00
_cell_angle_gamma 90.00
loop_
_atom_site_label
_atom_site_type_symbol
_atom_site_fract_x
_atom_site_fract_y
_atom_site_fract_z
_atom_site_occupancy
Ti1 Ti 0.0000 0.0000 0.0000 1
Zn1 Zn 0.1220 0.3780 0.0000 1
Au1 Au 0.1772 0.6772 0.5000 1

=====

Record 6
# ZrSbAs2 | the Alexandria database | PBE-GGA | optimized geometry
# Volume   85 Å³/cell
# Calculated total energy   -5.91 eV/atom
# Raw formation energy   -0.41 eV/atom
data_ZrSbAs2
_chemical_formula_sum 'Zr1 Sb1 As2'
_symmetry_space_group_name_H-M 'P 4/m m m'
_symmetry_Int_Tables_number 123
_symmetry_space_group_name_Hall '-P 4 2'
_cell_length_a 3.5825
_cell_length_b 3.5825
_cell_length_c 6.6612
_cell_angle_alpha 90.00
_cell_angle_beta 90.00
_cell_angle_gamma 90.00
loop_
_atom_site_label
_atom_site_type_symbol
_atom_site_fract_x
_atom_site_fract_y
_atom_site_fract_z
_atom_site_occupancy
Zr1 Zr 0.0000 0.0000 0.0000 1
Sb1 Sb 0.0000 0.0000 0.5000 1
As1 As 0.5000 0.5000 0.1982 1

=====

Record 7
# Cd3NiSb | the Alexandria database | PBE-GGA | optimized geometry
# Volume   176 Å³/cell
# Distance to the lowest polymorph of the same formula   688 meV per atom
# Calculated total energy   -1.56 eV/atom
# Raw formation energy   0.97 eV/atom
data_Cd3NiSb
_chemical_formula_sum 'Cd3 Ni1 Sb1'
_symmetry_space_group_name_H-M 'P m -3 m'
_symmetry_Int_Tables_number 221
_symmetry_space_group_name_Hall '-P 4 2 3'
_cell_length_a 5.6068
_cell_length_b 5.6068
_cell_length_c 5.6068
_cell_angle_alpha 90.00
_cell_angle_beta 90.00
_cell_angle_gamma 90.00
loop_
_atom_site_label
_atom_site_type_symbol
_atom_site_fract_x
_atom_site_fract_y
_atom_site_fract_z
_atom_site_occupancy
Cd1 Cd 0.0000 0.0000 0.5000 1
Ni1 Ni 0.5000 0.5000 0.5000 1
Sb1 Sb 0.0000 0.0000 0.0000 1

=====

Record 8
# NpGe2Pt4 | the Alexandria database | PBE-GGA | optimized geometry
# Volume   492 Å³/cell
# Formation energy   -486 meV/atom
# Calculated total energy   -7.11 eV/atom
data_NpGe2Pt4
_chemical_formula_sum 'Np4 Ge8 Pt16'
_symmetry_space_group_name_H-M 'P 1 21/c 1'
_symmetry_Int_Tables_number 14
_cell_length_a 4.3670
_cell_length_b 16.6623
_cell_length_c 8.0413
_cell_angle_alpha 90.00
_cell_angle_beta 122.80
_cell_angle_gamma 90.00
loop_
_symmetry_equiv_pos_as_xyz
'x,y,z'
'-x,-y,-z'
'-x,y+1/2,-z+1/2'
'x,-y+1/2,z+1/2'
loop_
_atom_site_label
_atom_site_type_symbol
_atom_site_fract_x
_atom_site_fract_y
_atom_site_fract_z
_atom_site_occupancy
Np1 Np 0.2204 0.1340 0.4716 1
Ge1 Ge 0.3574 0.7124 0.6044 1
Ge2 Ge 0.4475 0.5316 0.1975 1
Pt1 Pt 0.0378 0.7202 0.7852 1
Pt2 Pt 0.0389 0.5468 0.7883 1
Pt3 Pt 0.2676 0.5694 0.5160 1
Pt4 Pt 0.3795 0.1663 0.1319 1

=====

Record 9
# Sm6Y8Ho | the Alexandria database | PBE-GGA | optimized geometry
# Volume   1481 Å³/cell
# Formation energy   178 meV/atom
# Distance to the lowest polymorph of the same formula   57 meV per atom
# Calculated total energy   -5.46 eV/atom
data_Sm6Y8Ho
_chemical_formula_sum 'Sm18 Y24 Ho3'
_symmetry_space_group_name_H-M 'R -3'
_symmetry_Int_Tables_number 148
_symmetry_space_group_name_Hall '-R 3'
_cell_length_a 9.7823
_cell_length_b 9.7823
_cell_length_c 17.8743
_cell_angle_alpha 90.00
_cell_angle_beta 90.00
_cell_angle_gamma 120.00
loop_
_atom_site_label
_atom_site_type_symbol
_atom_site_fract_x
_atom_site_fract_y
_atom_site_fract_z
_atom_site_occupancy
Sm1 Sm 0.0413 0.7533 0.1770 1
Y1 Y 0.0000 0.0000 0.0857 1
Y2 Y 0.0602 0.8153 0.6703 1
Ho1 Ho 0.0000 0.0000 0.5000 1

=====

Record 10
# BeInAg2O | the Alexandria database | PBE-GGA | optimized geometry
# Volume   92 Å³/cell
# Calculated total energy   -3.05 eV/atom
# Raw formation energy   0.38 eV/atom
data_BeInAg2O
_chemical_formula_sum 'Be1 In1 Ag2 O1'
_symmetry_space_group_name_H-M 'P 4/m m m'
_symmetry_Int_Tables_number 123
_symmetry_space_group_name_Hall '-P 4 2'
_cell_length_a 4.4619
_cell_length_b 4.4619
_cell_length_c 4.6103
_cell_angle_alpha 90.00
_cell_angle_beta 90.00
_cell_angle_gamma 90.00
loop_
_atom_site_label
_atom_site_type_symbol
_atom_site_fract_x
_atom_site_fract_y
_atom_site_fract_z
_atom_site_occupancy
Be1 Be 0.0000 0.0000 0.0000 1
In1 In 0.5000 0.5000 0.0000 1
Ag1 Ag 0.0000 0.5000 0.5000 1
O1 O 0.5000 0.5000 0.5000 1

=====

Record 11
# Li2MnSnH | the Alexandria database | PBE-GGA | optimized geometry
# Volume   68 Å³/cell
# Calculated total energy   -4.25 eV/atom
data_Li2MnSnH
_chemical_formula_sum 'Li2 Mn1 Sn1 H1'
_symmetry_space_group_name_H-M 'P 4/m m m'
_symmetry_Int_Tables_number 123
_symmetry_space_group_name_Hall '-P 4 2'
_cell_length_a 4.0178
_cell_length_b 4.0178
_cell_length_c 4.2169
_cell_angle_alpha 90.00
_cell_angle_beta 90.00
_cell_angle_gamma 90.00
loop_
_atom_site_label
_atom_site_type_symbol
_atom_site_fract_x
_atom_site_fract_y
_atom_site_fract_z
_atom_site_occupancy
Li1 Li 0.0000 0.5000 0.0000 1
Mn1 Mn 0.0000 0.0000 0.5000 1
Sn1 Sn 0.5000 0.5000 0.5000 1
H1 H 0.0000 0.0000 0.0000 1

=====

Record 12
# LiCrP | the Alexandria database | PBE-GGA | optimized geometry
# Volume   83 Å³/cell
# Formation energy   -403 meV/atom
# Calculated total energy   -6.05 eV/atom
data_LiCrP
_chemical_formula_sum 'Li2 Cr2 P2'
_symmetry_space_group_name_H-M 'P m m n'
_symmetry_Int_Tables_number 59
_cell_length_a 3.3363
_cell_length_b 3.9384
_cell_length_c 6.3217
_cell_angle_alpha 90.00
_cell_angle_beta 90.00
_cell_angle_gamma 90.00
loop_
_symmetry_equiv_pos_as_xyz
'x,y,z'
'-x,-y,-z'
'-x+1/2,-y+1/2,z'
'x+1/2,y+1/2,-z'
'x+1/2,-y,-z'
'-x+1/2,y,z'
'-x,y+1/2,-z'
'x,-y+1/2,z'
loop_
_atom_site_label
_atom_site_type_symbol
_atom_site_fract_x
_atom_site_fract_y
_atom_site_fract_z
_atom_site_occupancy
Li1 Li 0.2500 0.2500 0.0338 1
Cr1 Cr 0.2500 0.2500 0.4825 1
P1 P 0.2500 0.7500 0.2684 1